Entry from the Alexandria database: a relaxed structure of Si2TeAs (PBE-GGA).

```
Si2TeAs
1.0
4.393 0.000 0.000
0.000 3.488 0.000
-2.150 0.000 6.740
Si Te As
2 1 1
Direct
0.000 0.000 0.000 Si
0.427 0.500 0.078 Si
0.572 0.500 0.747 Te
0.789 0.000 0.277 As
```

formation energy from raw total energies	0.473	eV per formula unit
space group	Pm (6)
DFT total energy	-4.54	eV per atom
distance to the lowest polymorph of the same formula	0.00	eV/f.u.
DOS at the Fermi energy	0.142	states/eV/atom

=====

Entry from the Alexandria database: a relaxed structure of SiTeAs2 (PBE-GGA).

```
SiTeAs2
1.0
4.613 0.000 0.000
0.000 3.827 0.000
-1.889 0.000 5.060
Si Te As
1 1 2
Direct
0.000 0.000 0.000 Si
0.500 0.000 0.500 Te
0.246 0.500 0.814 As
0.754 0.500 0.186 As
```

formation energy from raw total energies	0.575	eV per formula unit
space group	P2/m (10)
DFT total energy	-4.32	eV per atom
distance to the lowest polymorph of the same formula	0.02	eV/f.u.
DOS at the Fermi energy	0.382	states/eV/atom

=====

Entry from the Alexandria database: a relaxed structure of SiTeAs (PBE-GGA).

```
SiTeAs
1.0
3.893 0.000 0.000
-1.947 3.372 0.000
0.000 0.000 5.062
Si Te As
1 1 1
Direct
0.000 0.000 0.000 Si
0.667 0.333 0.338 Te
0.333 0.667 0.752 As
```

formation energy from raw total energies	0.427	eV per formula unit
space group	P3m1 (156)
DFT total energy	-4.26	eV per atom
distance to the lowest polymorph of the same formula	0.00	eV/f.u.
DOS at the Fermi energy	0.244	states/eV/atom

=====

Question: Number 2 is which compound?
Answer: SiTeAs2